{
  "formula": "ScAlZn",
  "functional": "SCAN",
  "state": "PBEsol geometry",
  "dos_ef_per_ev_atom": 0.603,
  "formation_energy_mev_per_atom": -507.3,
  "energy_ev_per_cell": -37.0,
  "lattice_angstrom": [[-3.0027, 0.2302, -0.9931], [-1.1848, -3.0298, 2.8800], [-0.0482, 4.1980, 1.1191]],
  "species": ["Zn", "Sc", "Al"],
  "frac_coords": [[0.0000, 0.3333, 0.6667], [0.5000, 0.6667, 0.3333], [0.0000, 0.0000, 0.0000]]
}